VASP calculation (GGA-PBE) on crystalline LaMnCd2 at its relaxed geometry.

**DOS(E_F)**: 3.970 states/eV/f.u.
**Energy of formation**: 0.10 eV per atom

abc: 4.514 4.514 4.903
angles: 90.00 90.00 90.00
Sites, in units of the cell vectors:
La1 0.500 0.000 0.500
Mn1 0.000 0.500 0.500
Cd1 0.500 0.500 0.000
Cd2 0.000 0.000 0.000